(1)
DFT (GGA-PBE) results for crystalline CaGaSeBr2 at its relaxed geometry.

Structure (POSCAR):
```
CaGaSeBr2
1.0
5.2530 0.0000 0.0000
0.0000 5.2530 0.0000
0.0000 0.0000 5.1698
Ca Ga Se Br
1 1 1 2
Cartesian
0.0000 0.0000 0.0000
2.6265 2.6265 2.5849
2.6265 2.6265 0.0000
0.0000 2.6265 2.5849
2.6265 0.0000 2.5849
```

Uncorrected formation energy = -855 meV/atom
Theoretical density = 4.057 g/cm³
Total moment = 0.0 μB/f.u.

---

(2)
DFT (GGA-PBE) results for crystalline AcBeO at its relaxed geometry.

Structure (POSCAR):
```
AcBeO
1.0
2.0236 -5.7097 0.0000
2.0236 5.7097 0.0000
0.0000 0.0000 5.0668
Ac Be O
2 2 2
Cartesian
2.0236 4.2361 3.8001
2.0236 -4.2361 1.2667
2.0236 0.9569 3.8001
2.0236 -0.9569 1.2667
2.0236 0.0000 0.0000
2.0236 0.0000 2.5334
```

Uncorrected formation energy = -1550 meV/atom
Theoretical density = 7.148 g/cm³
Total moment = 0.0 μB/f.u.

---

(3)
DFT (GGA-PBE) results for crystalline InCuTc2 at its relaxed geometry.

Structure (POSCAR):
```
InCuTc2
1.0
-1.8861 1.8861 4.3667
1.8861 -1.8861 4.3667
1.8861 1.8861 -4.3667
In Cu Tc
1 1 2
Cartesian
0.0000 0.0000 0.0000
0.0000 0.0000 4.3667
1.8861 0.0000 2.1834
0.0000 1.8861 2.1834
```

Calculated total energy = -6.515 eV/atom
Theoretical density = 10.004 g/cm³
Total moment = 0.0 μB/f.u.

---

(4)
DFT (GGA-PBE) results for crystalline CoCuTc at its relaxed geometry.

Structure (POSCAR):
```
CoCuTc
1.0
0.0000 2.7571 2.7571
2.7571 0.0000 2.7571
2.7571 2.7571 0.0000
Co Cu Tc
1 1 1
Cartesian
0.0000 0.0000 0.0000
1.3785 1.3785 1.3785
4.1356 4.1356 4.1356
```

Calculated total energy = -6.687 eV/atom
Theoretical density = 8.735 g/cm³
Total moment = 0.5 μB/f.u.

---

(5)
DFT (GGA-PBE) results for crystalline KTa2CrBi at its relaxed geometry.

Structure (POSCAR):
```
KTa2CrBi
1.0
4.6492 0.0000 0.0000
0.0000 4.6492 0.0000
0.0000 0.0000 5.4453
K Ta Cr Bi
1 2 1 1
Cartesian
0.0000 0.0000 0.0000
0.0000 2.3246 0.0000
2.3246 0.0000 0.0000
2.3246 2.3246 2.7227
0.0000 0.0000 2.7227
```

Calculated total energy = -4.452 eV/atom
Theoretical density = 9.339 g/cm³
Total moment = 0.6 μB/f.u.

---

(6)
DFT (GGA-PBE) results for crystalline CsRb2Cd3 at its relaxed geometry.

Structure (POSCAR):
```
CsRb2Cd3
1.0
10.2430 -5.6083 0.0000
10.2430 5.6083 0.0000
0.0000 0.0000 5.4757
Cs Rb Cd
2 4 6
Cartesian
10.2430 3.5907 4.1067
10.2430 -3.5907 1.3689
6.6983 1.8697 1.3689
6.6983 -1.8697 4.1067
13.7877 1.8697 1.3689
13.7877 -1.8697 4.1067
3.4348 0.0000 0.0000
3.4348 0.0000 2.7378
10.2430 0.4190 1.3689
10.2430 -0.4190 4.1067
17.0511 0.0000 0.0000
17.0511 0.0000 2.7378
```

Calculated total energy = -0.934 eV/atom
Theoretical density = 3.384 g/cm³
Total moment = 0.0 μB/f.u.

---

(7)
DFT (GGA-PBE) results for crystalline TlRe2Mo at its relaxed geometry.

Structure (POSCAR):
```
TlRe2Mo
1.0
2.7913 -4.0657 0.0000
2.7913 4.0657 0.0000
0.0000 0.0000 2.9556
Tl Re Mo
1 2 1
Cartesian
0.0000 0.0000 0.0000
1.3957 2.0328 1.4778
1.3957 -2.0328 1.4778
2.7913 0.0000 0.0000
```

Calculated total energy = -8.649 eV/atom
Theoretical density = 16.652 g/cm³
Total moment = 0.0 μB/f.u.

---

(8)
DFT (GGA-PBE) results for crystalline AsPdO2F at its relaxed geometry.

Structure (POSCAR):
```
AsPdO2F
1.0
4.0440 0.0000 0.0000
0.0000 4.0440 0.0000
0.0000 0.0000 4.0446
As Pd O F
1 1 2 1
Cartesian
0.0000 0.0000 0.0000
2.0220 2.0220 2.0223
0.0000 2.0220 2.0223
2.0220 0.0000 2.0223
2.0220 2.0220 0.0000
```

Uncorrected formation energy = -51 meV/atom
Theoretical density = 5.833 g/cm³
Total moment = 0.0 μB/f.u.